Na3VGa3O8: optimized geometry, GGA+U.

Results
ρ = 4427 kg/m3
Total magnetization = 1.000 μB/f.u.
Space-group type = No. 12
Total DFT energy (no corrections) = -5.85 eV/atom

Geometry as extended XYZ:
```
15
Lattice="5.1590 -3.0178 0.0000 5.1590 3.0178 0.0000 -3.4610 0.0000 5.5063" Properties=species:S:1:pos:R:3 pbc="T T T"
Na 0.0000 0.0000 0.0000
Na 2.5795 1.5089 0.0000
Na 2.5795 -1.5089 0.0000
V -1.7305 0.0000 2.7531
Ga 0.8490 1.5089 2.7531
Ga 0.8490 -1.5089 2.7531
Ga 3.4284 0.0000 2.7531
O -0.1242 0.0000 3.8150
O 2.5815 1.5282 3.8006
O 4.2754 1.5282 1.7057
O 1.6774 0.0000 1.7038
O 5.1795 0.0000 3.8025
O 2.5815 -1.5282 3.8006
O 4.2754 -1.5282 1.7057
O 6.9811 0.0000 1.6913
```